1.
Here is an optimized crystal structure of CsCdP from Alexandria. Energies are from PBE-GGA.

- total energy (eV per atom) = -2.67
- SG = No. 62
- N(E_F) (states/eV/f.u.) = 0.000
- magnetic moment (μB per formula unit) = 0.00

Cell and atoms, written as extended XYZ:
```
12
Lattice="12.227 0.000 0.000 0.000 6.364 0.000 0.000 0.000 7.211" Properties=species:S:1:pos:R:3 pbc="T T T"
P 7.144 4.773 5.143
P 11.196 1.591 1.537
P 5.083 1.591 2.068
P 1.031 4.773 5.674
Cs 4.252 4.773 0.220
Cs 7.975 1.591 6.991
Cs 1.862 1.591 3.826
Cs 10.365 4.773 3.386
Cd 0.000 0.000 0.000
Cd 0.000 3.182 0.000
Cd 6.113 3.182 3.606
Cd 6.113 0.000 3.606
```

=====

2.
Here is an optimized crystal structure of CsCdP from Alexandria. Energies are from PBE-GGA.

- total energy (eV per atom) = -2.54
- SG = No. 6
- N(E_F) (states/eV/f.u.) = 0.936
- magnetic moment (μB per formula unit) = 0.00

Cell and atoms, written as extended XYZ:
```
6
Lattice="-5.784 0.626 5.294 1.971 -2.941 2.502 5.992 4.667 0.765" Properties=species:S:1:pos:R:3 pbc="T T T"
Cs 4.066 1.084 1.826
Cs 2.044 2.794 5.430
Cd 0.641 -0.376 2.809
Cd -1.337 1.807 3.178
P 5.138 4.595 1.353
P 3.394 4.473 2.584
```

=====

3.
Here is an optimized crystal structure of CsCdP from Alexandria. Energies are from PBE-GGA.

- total energy (eV per atom) = -2.65
- SG = No. 62
- N(E_F) (states/eV/f.u.) = 0.000
- magnetic moment (μB per formula unit) = 0.00

Cell and atoms, written as extended XYZ:
```
12
Lattice="12.335 0.000 0.000 0.000 4.533 0.000 0.000 0.000 8.453" Properties=species:S:1:pos:R:3 pbc="T T T"
Cs 10.261 1.133 4.141
Cs 2.074 3.400 4.312
Cs 4.094 1.133 0.086
Cs 8.241 3.400 8.367
P 11.516 3.400 6.636
P 0.819 1.133 1.817
P 5.349 3.400 6.043
P 6.986 1.133 2.409
Cd 6.075 1.133 5.137
Cd 12.242 1.133 7.542
Cd 0.093 3.400 0.910
Cd 6.260 3.400 3.316
```

=====

4.
Here is an optimized crystal structure of CsCd3P2 from Alexandria. Energies are from PBE-GGA.

- total energy (eV per atom) = -2.52
- SG = No. 12
- N(E_F) (states/eV/f.u.) = 1.383
- magnetic moment (μB per formula unit) = 0.00

Cell and atoms, written as extended XYZ:
```
12
Lattice="4.472 0.000 0.000 -2.236 9.305 0.955 0.000 3.368 8.713" Properties=species:S:1:pos:R:3 pbc="T T T"
Cd 0.000 5.089 6.755
Cd 0.000 7.490 4.918
Cd 2.236 7.584 2.913
Cd 0.000 5.716 1.360
Cd 2.236 6.958 8.307
Cd 2.236 5.183 4.749
P 2.236 4.655 2.180
P 2.236 4.173 7.923
P 0.000 8.501 1.745
P 0.000 8.018 7.487
Cs 2.236 10.792 7.518
Cs 0.000 1.881 2.149
```

=====

5.
Here is an optimized crystal structure of CsCdP from Alexandria. Energies are from PBE-GGA.

- total energy (eV per atom) = -2.57
- SG = No. 1
- N(E_F) (states/eV/f.u.) = 0.000
- magnetic moment (μB per formula unit) = 0.00

Cell and atoms, written as extended XYZ:
```
6
Lattice="-4.013 -5.323 0.708 0.393 -3.361 -5.105 3.336 -4.182 2.613" Properties=species:S:1:pos:R:3 pbc="T T T"
Cs 0.086 -4.552 -1.313
Cs 2.400 -4.299 2.146
Cd -1.046 -8.788 -2.848
Cd -2.780 -6.531 -2.442
P -1.823 -7.087 0.319
P -0.073 -8.202 -0.485
```

=====

6.
Here is an optimized crystal structure of CsCdP from Alexandria. Energies are from PBE-GGA.

- total energy (eV per atom) = -2.58
- SG = No. 8
- N(E_F) (states/eV/f.u.) = 0.000
- magnetic moment (μB per formula unit) = 0.00

Cell and atoms, written as extended XYZ:
```
6
Lattice="-3.205 11.481 -2.893 -2.392 1.954 -5.195 -3.499 -4.928 -0.080" Properties=species:S:1:pos:R:3 pbc="T T T"
P -4.569 8.055 -4.423
P -6.119 7.273 -5.811
Cs -4.068 -1.082 -1.612
Cs -5.681 12.854 -7.666
Cd -6.859 4.794 -6.280
Cd -2.964 6.760 -2.792
```

=====

7.
Here is an optimized crystal structure of CsCdP3 from Alexandria. Energies are from PBE-GGA.

- total energy (eV per atom) = -2.82
- SG = No. 221
- N(E_F) (states/eV/f.u.) = 4.509
- magnetic moment (μB per formula unit) = 0.00

Cell and atoms, written as extended XYZ:
```
5
Lattice="-4.591 -2.097 1.292 2.412 -4.382 1.458 0.500 1.883 4.832" Properties=species:S:1:pos:R:3 pbc="T T T"
Cs -0.840 -2.298 3.791
P -2.295 -1.049 0.646
P 1.206 -2.191 0.729
P 0.250 0.941 2.416
Cd 0.000 0.000 0.000
```

=====

8.
Here is an optimized crystal structure of CsCdP from Alexandria. Energies are from PBE-GGA.

- total energy (eV per atom) = -2.55
- SG = No. 51
- N(E_F) (states/eV/f.u.) = 0.523
- magnetic moment (μB per formula unit) = 0.00

Cell and atoms, written as extended XYZ:
```
6
Lattice="4.384 0.000 0.000 0.000 5.883 0.000 0.000 0.000 7.977" Properties=species:S:1:pos:R:3 pbc="T T T"
Cs 3.288 2.941 1.715
Cs 1.096 2.941 6.261
P 1.096 0.000 0.486
P 3.288 0.000 7.491
Cd 3.288 0.000 4.900
Cd 1.096 0.000 3.077
```

=====

9.
Here is an optimized crystal structure of CsCd3P from Alexandria. Energies are from PBE-GGA.

- total energy (eV per atom) = -0.77
- SG = No. 221
- N(E_F) (states/eV/f.u.) = 5.639
- magnetic moment (μB per formula unit) = 2.12

Cell and atoms, written as extended XYZ:
```
5
Lattice="-5.624 -1.777 4.229 3.602 -5.855 2.329 2.841 3.904 5.419" Properties=species:S:1:pos:R:3 pbc="T T T"
Cd 1.801 -2.927 1.165
Cd -2.812 -0.889 2.115
Cd 1.421 1.952 2.709
P 0.409 -1.864 5.989
Cs 0.000 0.000 0.000
```

=====

10.
Here is an optimized crystal structure of CsCdP from Alexandria. Energies are from PBE-GGA.

- total energy (eV per atom) = -2.60
- SG = No. 2
- N(E_F) (states/eV/f.u.) = 0.000
- magnetic moment (μB per formula unit) = 0.00

Cell and atoms, written as extended XYZ:
```
6
Lattice="7.523 -0.004 0.040 1.685 4.330 -0.014 2.238 0.172 5.992" Properties=species:S:1:pos:R:3 pbc="T T T"
Cs 2.534 1.390 1.395
Cs 5.694 3.081 3.982
P 9.602 1.561 5.122
P 6.148 2.905 0.296
Cd 9.349 4.299 4.027
Cd 6.401 0.167 1.390
```

=====

11.
Here is an optimized crystal structure of CsCdP from Alexandria. Energies are from PBE-GGA.

- total energy (eV per atom) = -2.61
- SG = No. 5
- N(E_F) (states/eV/f.u.) = 0.001
- magnetic moment (μB per formula unit) = 0.00

Cell and atoms, written as extended XYZ:
```
6
Lattice="14.196 0.000 0.002 4.001 4.366 -1.743 -4.001 4.366 1.743" Properties=species:S:1:pos:R:3 pbc="T T T"
P 6.053 2.417 0.405
P 8.142 2.417 -0.403
Cd 9.798 4.152 -1.207
Cd 4.398 4.152 1.209
Cs 11.983 1.142 0.335
Cs 2.213 1.142 -0.334
```

=====

12.
Here is an optimized crystal structure of CsCdP from Alexandria. Energies are from PBE-GGA.

- total energy (eV per atom) = -2.72
- SG = No. 187
- N(E_F) (states/eV/f.u.) = 0.164
- magnetic moment (μB per formula unit) = 0.00

Cell and atoms, written as extended XYZ:
```
3
Lattice="5.821 0.000 0.000 0.000 4.472 0.000 0.000 -2.236 3.873" Properties=species:S:1:pos:R:3 pbc="T T T"
Cs 3.880 2.236 1.291
Cd 0.969 0.000 0.000
P 0.972 0.000 2.582
```